A:
# Rb2LiTcF6, relaxed, DFT PBE
data_Rb2LiTcF6
_cell_length_a 6.0770
_cell_length_b 6.0770
_cell_length_c 29.3048
_cell_angle_alpha 90.00
_cell_angle_beta 90.00
_cell_angle_gamma 120.00
_symmetry_space_group_name_H-M 'R -3 m'
_symmetry_Int_Tables_number 166
_symmetry_space_group_name_Hall '-R 3 2"'
loop_
_atom_site_label
_atom_site_type_symbol
_atom_site_fract_x
_atom_site_fract_y
_atom_site_fract_z
Rb1 Rb 0.0000 0.0000 0.1258
Rb2 Rb 0.0000 0.0000 0.2844
Li1 Li 0.0000 0.0000 0.4038
Tc1 Tc 0.0000 0.0000 0.0000
Tc2 Tc 0.0000 0.0000 0.5000
F1 F 0.0042 0.5021 0.7048
F2 F 0.0276 0.5138 0.1239
# magnetic moment	0.20	μB per atom
# Fermi-level density of states	30.6	states/eV/cell
# crystal system	trigonal


B:
# Rb2LiTcF6, relaxed, DFT PBE
data_Rb2LiTcF6
_cell_length_a 5.9473
_cell_length_b 5.9473
_cell_length_c 8.4733
_cell_angle_alpha 90.00
_cell_angle_beta 90.00
_cell_angle_gamma 90.00
_symmetry_space_group_name_H-M 'I 4/m m m'
_symmetry_Int_Tables_number 139
_symmetry_space_group_name_Hall '-I 4 2'
loop_
_atom_site_label
_atom_site_type_symbol
_atom_site_fract_x
_atom_site_fract_y
_atom_site_fract_z
Rb1 Rb 0.0000 0.5000 0.2500
Li1 Li 0.0000 0.0000 0.0000
Tc1 Tc 0.0000 0.0000 0.5000
F1 F 0.0000 0.0000 0.2536
F2 F 0.2434 0.2434 0.5000
# magnetic moment	0.20	μB per atom
# Fermi-level density of states	26.9	states/eV/cell
# crystal system	tetragonal


Which of them is the most stable? Correct choice: A.


A:
# LiReF3, relaxed, DFT PBE
data_LiReF3
_cell_length_a 4.2167
_cell_length_b 4.2167
_cell_length_c 4.2167
_cell_angle_alpha 90.00
_cell_angle_beta 90.00
_cell_angle_gamma 90.00
_symmetry_space_group_name_H-M 'P m -3 m'
_symmetry_Int_Tables_number 221
_symmetry_space_group_name_Hall '-P 4 2 3'
loop_
_atom_site_label
_atom_site_type_symbol
_atom_site_fract_x
_atom_site_fract_y
_atom_site_fract_z
Li1 Li 0.0000 0.0000 0.0000
Re1 Re 0.5000 0.5000 0.5000
F1 F 0.0000 0.5000 0.5000
# magnetic moment	0.27	μB per atom
# Fermi-level density of states	4.0	states/eV/cell
# crystal system	cubic


B:
# LiReF3, relaxed, DFT PBE
data_LiReF3
_cell_length_a 3.8154
_cell_length_b 3.8154
_cell_length_c 3.8154
_cell_angle_alpha 90.00
_cell_angle_beta 90.00
_cell_angle_gamma 90.00
_symmetry_space_group_name_H-M 'P m -3 m'
_symmetry_Int_Tables_number 221
_symmetry_space_group_name_Hall '-P 4 2 3'
loop_
_atom_site_label
_atom_site_type_symbol
_atom_site_fract_x
_atom_site_fract_y
_atom_site_fract_z
Li1 Li 0.0000 0.0000 0.0000
Re1 Re 0.5000 0.5000 0.5000
F1 F 0.0000 0.0000 0.5000
# magnetic moment	1.00	μB per atom
# Fermi-level density of states	0.9	states/eV/cell
# crystal system	cubic


Which of them is the most stable? Correct choice: B.